Density functional theory data (GGA-PBE) for a relaxed structure of NpGe2RuRh.

Cell: 4.1759 4.1759 5.9258 Å, 110.63 110.63 90.00°
Last column: nearest neighbours and their distance in Å.
Fractional coordinates of all 5 atoms:
1 Np 0.0000 0.0000 0.0000  8 Ge 3.22, 4 Ru 3.31, 4 Rh 3.31
2 Ge 0.6244 0.6244 0.2487  2 Ru 2.45, 2 Rh 2.45, 1 Ge 2.56
3 Ge 0.3756 0.3756 0.7513  2 Ru 2.45, 2 Rh 2.45, 1 Ge 2.56
4 Ru 0.2500 0.7500 0.5000  4 Ge 2.45
5 Rh 0.7500 0.2500 0.5000  4 Ge 2.45

Values from the calculation:
Symmetry ... I-4m2, No. 119
Total DFT energy (no corrections) ... -8.194 eV/atom
Density of states at the Fermi level ... 2.943 states/eV/atom
Formation energy from the elements ... -433.0 meV/atom

---

Density functional theory data (GGA-PBE) for a relaxed structure of Np2Ge4RuRh3.

Cell: 4.2610 4.2610 9.8973 Å, 90.00 90.00 90.00°
Last column: nearest neighbours and their distance in Å.
Fractional coordinates of all 10 atoms:
1 Np 0.5000 0.0000 0.2505  8 Ge 3.24-3.27, 6 Rh 3.25-3.26, 2 Ru 3.26
2 Np 0.0000 0.5000 0.7495  8 Ge 3.24-3.27, 6 Rh 3.25-3.26, 2 Ru 3.26
3 Ge 0.5000 0.5000 0.0000  4 Rh 2.47
4 Ge 0.0000 0.0000 0.0000  4 Rh 2.47
5 Ge 0.5000 0.0000 0.6286  3 Rh 2.42-2.48, 2 Ru 2.48
6 Ge 0.0000 0.5000 0.3714  3 Rh 2.42-2.48, 2 Ru 2.48
7 Ru 0.5000 0.5000 0.5000  4 Ge 2.48
8 Rh 0.0000 0.0000 0.5000  4 Ge 2.48
9 Rh 0.5000 0.0000 0.8731  5 Ge 2.42-2.47
10 Rh 0.0000 0.5000 0.1269  5 Ge 2.42-2.47

Values from the calculation:
Symmetry ... P-4m2, No. 115
Total DFT energy (no corrections) ... -8.036 eV/atom
Density of states at the Fermi level ... 2.213 states/eV/atom
Formation energy from the elements ... -467.8 meV/atom

---

Density functional theory data (GGA-PBE) for a relaxed structure of NpGeRuRh.

Cell: 4.5780 4.5780 4.5780 Å, 60.00 60.00 60.00°
Last column: nearest neighbours and their distance in Å.
Fractional coordinates of all 4 atoms:
1 Np 0.5000 0.5000 0.5000  4 Ru 2.80, 4 Rh 2.80
2 Ru 0.7500 0.7500 0.7500  4 Ge 2.80, 4 Np 2.80
3 Ge 0.0000 0.0000 0.0000  4 Rh 2.80, 4 Ru 2.80
4 Rh 0.2500 0.2500 0.2500  4 Np 2.80, 4 Ge 2.80

Values from the calculation:
Symmetry ... F-43m, No. 216
Total DFT energy (no corrections) ... -8.813 eV/atom
Density of states at the Fermi level ... 1.579 states/eV/atom
Formation energy from the elements ... -266.6 meV/atom

---

Density functional theory data (GGA-PBE) for a relaxed structure of Np2Ge3SbRh4.

Cell: 4.2545 4.2545 10.3775 Å, 90.00 90.00 90.00°
Last column: nearest neighbours and their distance in Å.
Fractional coordinates of all 10 atoms:
1 Np 0.5000 0.0000 0.2443  8 Rh 3.24-3.31, 6 Ge 3.25-3.40, 2 Sb 3.40
2 Np 0.0000 0.5000 0.7557  8 Rh 3.24-3.31, 6 Ge 3.25-3.40, 2 Sb 3.40
3 Ge 0.0000 0.0000 0.5000  4 Rh 2.58
4 Ge 0.5000 0.0000 0.8731  5 Rh 2.42-2.50
5 Ge 0.0000 0.5000 0.1269  5 Rh 2.42-2.50
6 Sb 0.5000 0.5000 0.5000  4 Rh 2.58
7 Rh 0.5000 0.5000 0.0000  4 Ge 2.50
8 Rh 0.0000 0.0000 0.0000  4 Ge 2.50
9 Rh 0.5000 0.0000 0.6402  3 Ge 2.42-2.58, 2 Sb 2.58
10 Rh 0.0000 0.5000 0.3598  3 Ge 2.42-2.58, 2 Sb 2.58

Values from the calculation:
Formation energy (no corrections) ... -0.46 eV per atom
Symmetry ... P-4m2, No. 115
Total DFT energy (no corrections) ... -7.790 eV/atom
Density of states at the Fermi level ... 2.211 states/eV/atom

---

> What is the formula in the second record?

Np2Ge4RuRh3

---

Please write out number 1 again, unchanged.
Density functional theory data (GGA-PBE) for a relaxed structure of NpGe2RuRh.

Cell: 4.1759 4.1759 5.9258 Å, 110.63 110.63 90.00°
Last column: nearest neighbours and their distance in Å.
Fractional coordinates of all 5 atoms:
1 Np 0.0000 0.0000 0.0000  8 Ge 3.22, 4 Ru 3.31, 4 Rh 3.31
2 Ge 0.6244 0.6244 0.2487  2 Ru 2.45, 2 Rh 2.45, 1 Ge 2.56
3 Ge 0.3756 0.3756 0.7513  2 Ru 2.45, 2 Rh 2.45, 1 Ge 2.56
4 Ru 0.2500 0.7500 0.5000  4 Ge 2.45
5 Rh 0.7500 0.2500 0.5000  4 Ge 2.45

Values from the calculation:
Symmetry ... I-4m2, No. 119
Total DFT energy (no corrections) ... -8.194 eV/atom
Density of states at the Fermi level ... 2.943 states/eV/atom
Formation energy from the elements ... -433.0 meV/atom

---

> The highest total DFT energy (no corrections) belongs to which entry?

Np2Ge3SbRh4